Record 1
VASP calculation (GGA-PBE) on a geometry-optimized Ba4ZnPI2 structure.

Cell and atoms, written as POSCAR:
```
Ba4ZnPI2
1.0
8.5314 0.0000 0.0000
0.0000 4.7571 0.0000
-2.6998 0.0000 8.4589
Ba Zn P I
4 1 1 2
direct
0.2223 0.0000 0.2034
0.2471 0.5000 0.7870
0.7529 0.5000 0.2130
0.7777 0.0000 0.7966
0.5000 0.0000 0.0000
0.0000 0.5000 0.0000
0.0000 0.0000 0.5000
0.5000 0.5000 0.5000
```

Symmetry = P2/m, No. 10

***

Record 2
VASP calculation (GGA-PBE) on a geometry-optimized Cs2ZnCoCl6 structure.

Cell and atoms, written as POSCAR:
```
Cs2ZnCoCl6
1.0
-3.6537 3.6537 5.4468
3.6537 -3.6537 5.4468
3.6537 3.6537 -5.4468
Cs Zn Co Cl
2 1 1 6
direct
0.2500 0.7500 0.5000
0.7500 0.2500 0.5000
0.0000 0.0000 0.0000
0.5000 0.5000 0.0000
0.2025 0.2025 0.0000
0.2740 0.2740 0.5480
0.2740 0.7260 0.0000
0.7260 0.2740 0.0000
0.7260 0.7260 0.4520
0.7975 0.7975 0.0000
```

Symmetry = I4/mmm, No. 139

***

Record 3
VASP calculation (GGA-PBE) on a geometry-optimized V2Ni2Pt structure.

Cell and atoms, written as POSCAR:
```
V2Ni2Pt
1.0
5.9232 -2.1989 0.0000
5.9232 2.1989 0.0000
-0.9232 0.0000 4.9964
V Ni Pt
4 4 2
direct
0.1752 0.2220 0.0623
0.2220 0.1752 0.5623
0.7780 0.8248 0.4377
0.8248 0.7780 0.9377
0.3384 0.4472 0.3483
0.4472 0.3384 0.8483
0.5528 0.6616 0.1517
0.6616 0.5528 0.6517
0.0803 0.9197 0.7500
0.9197 0.0803 0.2500
```

Polymorph energy (0 for the lowest one) = 62.3 kJ/mol of formula units
Symmetry = C2/c, No. 15

***

Record 4
VASP calculation (GGA-PBE) on a geometry-optimized Pa4TcAsSe2 structure.

Cell and atoms, written as POSCAR:
```
Pa4TcAsSe2
1.0
7.1145 0.0000 0.0000
0.0000 3.9626 0.0000
-2.1959 0.0000 6.7890
Pa Tc As Se
4 1 1 2
direct
0.2293 0.0000 0.2310
0.2379 0.5000 0.7592
0.7621 0.5000 0.2408
0.7707 0.0000 0.7690
0.0000 0.5000 0.0000
0.0000 0.0000 0.5000
0.5000 0.0000 0.0000
0.5000 0.5000 0.5000
```

Symmetry = P2/m, No. 10

***

| no. | uncorrected energy (eV per atom) |
| --- | --- |
| 1 | -3.215 |
| 2 | -3.371 |
| 3 | -7.312 |
| 4 | -8.387 |